Here is a relaxed structure of PIr2Pb from Alexandria. Energies are from GGA-PBE.

Energy of formation: 0.2025 eV/atom

a = 3.6050 Å, b = 4.5462 Å, c = 4.7062 Å
α = 75.66°, β = 90.00°, γ = 90.00°
Last column: nearest neighbours and their distance in Å.
Positions (direct):
Ir  0.0000  0.0580  0.0562  2 P 2.29
Ir  0.0000  0.4420  0.4438  2 P 2.29
Pb  0.5000  0.7500  0.7500  2 P 2.84, 4 Ir 2.88
P  0.5000  0.2500  0.2500  4 Ir 2.29

---

Here is a relaxed structure of GeSN2F from Alexandria. Energies are from GGA-PBE.

Uncorrected formation energy: 1262 meV/atom

a = 3.6827 Å, b = 3.6827 Å, c = 5.2767 Å
α = 90.00°, β = 90.00°, γ = 90.00°
Last column: nearest neighbours and their distance in Å.
Positions (direct):
Ge  0.0000  0.0000  0.0000  4 N 1.84
N  0.5000  0.0000  0.0000  2 Ge 1.84
N  0.0000  0.5000  0.0000  2 Ge 1.84
F  0.5000  0.5000  0.5000  4 S 2.60
S  0.0000  0.0000  0.5000  4 F 2.60, 2 Ge 2.64

---

Here is a relaxed structure of B7C3 from Alexandria. Energies are from GGA-PBE.

Energy of formation: 0.4087 eV/atom

a = 7.0638 Å, b = 7.4232 Å, c = 7.4232 Å
α = 159.10°, β = 145.37°, γ = 41.09°
Last column: nearest neighbours and their distance in Å.
Positions (direct):
B  0.7509  0.4639  0.2870  1 C 1.52
B  0.2224  0.2002  0.0222  2 C 1.64-1.81
B  0.0100  0.0210  0.9890  1 C 1.51
B  0.2020  0.8551  0.3469  2 C 1.56
B  0.9600  0.7174  0.2426  5 B 1.72-1.88
B  0.5388  0.6407  0.8981  2 C 1.57, 1 B 1.74
B  0.7380  0.7932  0.9448  2 C 1.57, 1 B 1.72
C  0.5905  0.3137  0.2768  2 B 1.57, 1 C 1.61
C  0.3430  0.1065  0.2365  4 B 1.51-1.64
C  0.3945  0.3882  0.0062  3 B 1.52-1.56, 1 C 1.61

---

Number 1: total magnetization 0.00 μB/f.u.. Number 2: total magnetization 2.80 μB/f.u.. Number 3: total magnetization 0.00 μB/f.u..